A geometry-optimized KReSe2 structure, computed with PBE.

Computed properties:
The calculation puts the uncorrected formation energy at -0.069 eV/atom.

Structure (CIF):
```
data_KReSe2
_cell_length_a 6.640
_cell_length_b 6.640
_cell_length_c 5.735
_cell_angle_alpha 111.24
_cell_angle_beta 111.24
_cell_angle_gamma 28.51
_space_group_name_H-M_alt 'P 1'
_space_group_IT_number 1
loop_
_space_group_symop_operation_xyz
'x,y,z'
loop_
_atom_site_label
_atom_site_type_symbol
_atom_site_fract_x
_atom_site_fract_y
_atom_site_fract_z
K1 K 0.000 0.000 0.000
Re1 Re 0.760 0.760 0.435
Se1 Se 0.188 0.188 0.649
Se2 Se 0.398 0.398 0.412
```


A geometry-optimized MoOsW2 structure, computed with PBE.

Computed properties:
As for the calculated formation energy: 0.14 eV per atom.

Structure (CIF):
```
data_MoOsW2
_cell_length_a 2.756
_cell_length_b 4.438
_cell_length_c 5.223
_cell_angle_alpha 90.00
_cell_angle_beta 101.00
_cell_angle_gamma 90.00
_space_group_name_H-M_alt 'P 1'
_space_group_IT_number 1
loop_
_space_group_symop_operation_xyz
'x,y,z'
loop_
_atom_site_label
_atom_site_type_symbol
_atom_site_fract_x
_atom_site_fract_y
_atom_site_fract_z
Mo1 Mo 0.000 0.000 0.000
Os1 Os 0.701 0.500 0.258
W1 W 0.229 0.500 0.756
W2 W 0.455 0.000 0.501
```


A geometry-optimized POs2Se structure, computed with PBE.

Computed properties:
The calculation puts the uncorrected formation energy at 0.892 eV/atom.

Structure (CIF):
```
data_POs2Se
_cell_length_a 2.917
_cell_length_b 4.081
_cell_length_c 5.141
_cell_angle_alpha 90.00
_cell_angle_beta 90.00
_cell_angle_gamma 90.00
_space_group_name_H-M_alt 'P 1'
_space_group_IT_number 1
loop_
_space_group_symop_operation_xyz
'x,y,z'
loop_
_atom_site_label
_atom_site_type_symbol
_atom_site_fract_x
_atom_site_fract_y
_atom_site_fract_z
P1 P 0.000 0.000 0.000
Os1 Os 0.000 0.500 0.500
Os2 Os 0.500 0.500 0.000
Se1 Se 0.500 0.000 0.500
```


A geometry-optimized TaCdPd5 structure, computed with PBE.

Computed properties:
As for the calculated formation energy: -0.20 eV per atom.

Structure (CIF):
```
data_TaCdPd5
_cell_length_a 4.012
_cell_length_b 4.012
_cell_length_c 7.566
_cell_angle_alpha 90.00
_cell_angle_beta 90.00
_cell_angle_gamma 90.00
_space_group_name_H-M_alt 'P 1'
_space_group_IT_number 1
loop_
_space_group_symop_operation_xyz
'x,y,z'
loop_
_atom_site_label
_atom_site_type_symbol
_atom_site_fract_x
_atom_site_fract_y
_atom_site_fract_z
Ta1 Ta 0.000 0.000 0.000
Cd1 Cd 0.500 0.500 0.500
Pd1 Pd 0.000 0.000 0.500
Pd2 Pd 0.000 0.500 0.222
Pd3 Pd 0.000 0.500 0.778
Pd4 Pd 0.500 0.000 0.222
Pd5 Pd 0.500 0.000 0.778
```


A geometry-optimized Zn2AgAu2 structure, computed with PBE.

Computed properties:
As for the calculated formation energy: 0.02 eV per atom.

Structure (CIF):
```
data_Zn2AgAu2
_cell_length_a 6.832
_cell_length_b 6.832
_cell_length_c 6.832
_cell_angle_alpha 147.19
_cell_angle_beta 147.19
_cell_angle_gamma 47.08
_space_group_name_H-M_alt 'P 1'
_space_group_IT_number 1
loop_
_space_group_symop_operation_xyz
'x,y,z'
loop_
_atom_site_label
_atom_site_type_symbol
_atom_site_fract_x
_atom_site_fract_y
_atom_site_fract_z
Zn1 Zn 0.098 0.098 0.000
Zn2 Zn 0.902 0.902 0.000
Ag1 Ag 0.500 0.500 0.000
Au1 Au 0.250 0.750 0.500
Au2 Au 0.750 0.250 0.500
```


A geometry-optimized Li2ScFe structure, computed with PBE.

Computed properties:
As for the calculated formation energy: 0.26 eV per atom.

Structure (CIF):
```
data_Li2ScFe
_cell_length_a 5.699
_cell_length_b 5.699
_cell_length_c 2.953
_cell_angle_alpha 102.58
_cell_angle_beta 102.58
_cell_angle_gamma 127.86
_space_group_name_H-M_alt 'P 1'
_space_group_IT_number 1
loop_
_space_group_symop_operation_xyz
'x,y,z'
loop_
_atom_site_label
_atom_site_type_symbol
_atom_site_fract_x
_atom_site_fract_y
_atom_site_fract_z
Li1 Li 0.000 0.500 0.000
Li2 Li 0.500 0.000 0.000
Sc1 Sc 0.000 0.000 0.500
Fe1 Fe 0.500 0.500 0.500
```


A geometry-optimized Lu2ScBi structure, computed with PBE.

Computed properties:
As for the calculated formation energy: -0.15 eV per atom.

Structure (CIF):
```
data_Lu2ScBi
_cell_length_a 10.716
_cell_length_b 10.716
_cell_length_c 10.716
_cell_angle_alpha 18.85
_cell_angle_beta 18.85
_cell_angle_gamma 18.85
_space_group_name_H-M_alt 'P 1'
_space_group_IT_number 1
loop_
_space_group_symop_operation_xyz
'x,y,z'
loop_
_atom_site_label
_atom_site_type_symbol
_atom_site_fract_x
_atom_site_fract_y
_atom_site_fract_z
Lu1 Lu 0.249 0.249 0.249
Lu2 Lu 0.751 0.751 0.751
Sc1 Sc 0.500 0.500 0.500
Bi1 Bi 0.000 0.000 0.000
```


A geometry-optimized Mn2IrSe structure, computed with PBE.

Computed properties:
The calculation puts the uncorrected formation energy at 0.119 eV/atom.

Structure (CIF):
```
data_Mn2IrSe
_cell_length_a 4.509
_cell_length_b 4.509
_cell_length_c 3.015
_cell_angle_alpha 90.00
_cell_angle_beta 90.00
_cell_angle_gamma 106.21
_space_group_name_H-M_alt 'P 1'
_space_group_IT_number 1
loop_
_space_group_symop_operation_xyz
'x,y,z'
loop_
_atom_site_label
_atom_site_type_symbol
_atom_site_fract_x
_atom_site_fract_y
_atom_site_fract_z
Mn1 Mn 0.000 0.500 0.000
Mn2 Mn 0.500 0.000 0.000
Ir1 Ir 0.000 0.000 0.500
Se1 Se 0.500 0.500 0.500
```


A geometry-optimized Tb3PmSm5 structure, computed with PBE.

Computed properties:
As for the calculated formation energy: 0.17 eV per atom.

Structure (CIF):
```
data_Tb3PmSm5
_cell_length_a 8.899
_cell_length_b 8.899
_cell_length_c 11.577
_cell_angle_alpha 108.30
_cell_angle_beta 108.30
_cell_angle_gamma 44.71
_space_group_name_H-M_alt 'P 1'
_space_group_IT_number 1
loop_
_space_group_symop_operation_xyz
'x,y,z'
loop_
_atom_site_label
_atom_site_type_symbol
_atom_site_fract_x
_atom_site_fract_y
_atom_site_fract_z
Tb1 Tb 0.000 0.000 0.000
Tb2 Tb 0.000 0.000 0.500
Tb3 Tb 0.156 0.365 0.631
Tb4 Tb 0.365 0.156 0.131
Tb5 Tb 0.635 0.844 0.869
Tb6 Tb 0.844 0.635 0.369
Pm1 Pm 0.237 0.763 0.750
Pm2 Pm 0.763 0.237 0.250
Sm1 Sm 0.074 0.271 0.853
Sm2 Sm 0.271 0.074 0.353
Sm3 Sm 0.316 0.684 0.250
Sm4 Sm 0.388 0.392 0.951
Sm5 Sm 0.392 0.388 0.451
Sm6 Sm 0.608 0.612 0.549
Sm7 Sm 0.612 0.608 0.049
Sm8 Sm 0.684 0.316 0.750
Sm9 Sm 0.729 0.926 0.647
Sm10 Sm 0.926 0.729 0.147
```


A geometry-optimized La2TeW structure, computed with PBE.

Computed properties:
The calculation puts the uncorrected formation energy at 0.073 eV/atom.

Structure (CIF):
```
data_La2TeW
_cell_length_a 8.670
_cell_length_b 8.670
_cell_length_c 8.670
_cell_angle_alpha 27.68
_cell_angle_beta 27.68
_cell_angle_gamma 27.68
_space_group_name_H-M_alt 'P 1'
_space_group_IT_number 1
loop_
_space_group_symop_operation_xyz
'x,y,z'
loop_
_atom_site_label
_atom_site_type_symbol
_atom_site_fract_x
_atom_site_fract_y
_atom_site_fract_z
La1 La 0.244 0.244 0.244
La2 La 0.756 0.756 0.756
Te1 Te 0.000 0.000 0.000
W1 W 0.500 0.500 0.500
```


| no. | N(E_F) (states/eV/f.u.) | raw total energy (eV per cell) |
| --- | --- | --- |
| 1 | 0.90 | -20.789 |
| 2 | 3.55 | -47.403 |
| 3 | 3.95 | -27.786 |
| 4 | 3.56 | -40.135 |
| 5 | 1.10 | -11.875 |
| 6 | 3.52 | -17.566 |
| 7 | 4.21 | -19.871 |
| 8 | 3.98 | -30.209 |
| 9 | 13.70 | -81.432 |
| 10 | 5.19 | -25.658 |